A plane-wave DFT calculation with PBE was carried out for crystalline La2TaW at its relaxed geometry.

Results
Energy relative to the lowest polymorph listed for this composition ... 1.89 eV/f.u.

Unit cell a=3.0138 b=5.5390 c=5.6004 alpha=90.00 beta=100.98 gamma=90.00
Space group P2/m (No. 10)
Inequivalent atoms, fractional coordinates:
La: 0.1780 0.0000 0.2617
Ta: 0.5000 0.5000 0.0000
W: 0.0000 0.5000 0.5000